First-principles (PBE) data for Li3Y3Te2O12 after structural relaxation, as listed in Alexandria.

Output
D(E_F): 0.0000 states/eV per atom
uncorrected energy: -6.8840 eV/atom

Cell and atoms, written as POSCAR:
```
Li3Y3Te2O12
1.0
-6.218 6.218 6.218
6.218 -6.218 6.218
6.218 6.218 -6.218
Li Y Te O
12 12 8 48
direct
0.125 0.750 0.875 Li
0.125 0.875 0.250 Li
0.250 0.125 0.875 Li
0.250 0.625 0.375 Li
0.375 0.250 0.625 Li
0.375 0.625 0.750 Li
0.625 0.375 0.250 Li
0.625 0.750 0.375 Li
0.750 0.375 0.625 Li
0.750 0.875 0.125 Li
0.875 0.125 0.750 Li
0.875 0.250 0.125 Li
0.125 0.250 0.375 Y
0.125 0.375 0.750 Y
0.250 0.375 0.125 Y
0.250 0.875 0.625 Y
0.375 0.125 0.250 Y
0.375 0.750 0.125 Y
0.625 0.250 0.875 Y
0.625 0.875 0.750 Y
0.750 0.125 0.375 Y
0.750 0.625 0.875 Y
0.875 0.625 0.250 Y
0.875 0.750 0.625 Y
0.000 0.000 0.000 Te
0.000 0.000 0.500 Te
0.000 0.500 0.000 Te
0.000 0.500 0.500 Te
0.500 0.000 0.000 Te
0.500 0.000 0.500 Te
0.500 0.500 0.000 Te
0.500 0.500 0.500 Te
0.027 0.199 0.120 O
0.027 0.328 0.907 O
0.078 0.699 0.672 O
0.078 0.880 0.407 O
0.093 0.620 0.422 O
0.093 0.973 0.672 O
0.120 0.027 0.199 O
0.120 0.593 0.922 O
0.172 0.199 0.578 O
0.172 0.473 0.593 O
0.199 0.120 0.027 O
0.199 0.578 0.172 O
0.301 0.328 0.922 O
0.301 0.473 0.380 O
0.328 0.907 0.027 O
0.328 0.922 0.301 O
0.380 0.301 0.473 O
0.380 0.578 0.907 O
0.407 0.078 0.880 O
0.407 0.828 0.527 O
0.422 0.093 0.620 O
0.422 0.828 0.801 O
0.473 0.380 0.301 O
0.473 0.593 0.172 O
0.527 0.407 0.828 O
0.527 0.620 0.699 O
0.578 0.172 0.199 O
0.578 0.907 0.380 O
0.593 0.172 0.473 O
0.593 0.922 0.120 O
0.620 0.422 0.093 O
0.620 0.699 0.527 O
0.672 0.078 0.699 O
0.672 0.093 0.973 O
0.699 0.527 0.620 O
0.699 0.672 0.078 O
0.801 0.422 0.828 O
0.801 0.880 0.973 O
0.828 0.527 0.407 O
0.828 0.801 0.422 O
0.880 0.407 0.078 O
0.880 0.973 0.801 O
0.907 0.027 0.328 O
0.907 0.380 0.578 O
0.922 0.120 0.593 O
0.922 0.301 0.328 O
0.973 0.672 0.093 O
0.973 0.801 0.880 O
```

---

First-principles (PBE) data for LiYTe2O6 after structural relaxation, as listed in Alexandria.

Output
D(E_F): 0.0000 states/eV per atom
uncorrected energy: -6.2004 eV/atom

Cell and atoms, written as POSCAR:
```
LiYTe2O6
1.0
5.591 -5.063 0.000
5.591 5.063 0.000
-0.775 0.000 5.505
Li Y Te O
2 2 4 12
direct
0.142 0.858 0.750 Li
0.858 0.142 0.250 Li
0.376 0.624 0.250 Y
0.624 0.376 0.750 Y
0.140 0.334 0.602 Te
0.334 0.140 0.102 Te
0.666 0.860 0.898 Te
0.860 0.666 0.398 Te
0.109 0.203 0.257 O
0.129 0.695 0.438 O
0.203 0.109 0.757 O
0.305 0.871 0.062 O
0.344 0.394 0.968 O
0.394 0.344 0.468 O
0.606 0.656 0.532 O
0.656 0.606 0.032 O
0.695 0.129 0.938 O
0.797 0.891 0.243 O
0.871 0.305 0.562 O
0.891 0.797 0.743 O
```

---

First-principles (PBE) data for LiY2TeO6 after structural relaxation, as listed in Alexandria.

Output
D(E_F): 0.4074 states/eV per atom
uncorrected energy: -7.1440 eV/atom

Cell and atoms, written as POSCAR:
```
LiY2TeO6
1.0
2.826 1.632 5.096
-2.826 1.632 5.096
0.000 -3.263 5.096
Li Y Te O
1 2 1 6
direct
0.000 0.000 0.000 Li
0.244 0.244 0.244 Y
0.750 0.750 0.750 Y
0.544 0.544 0.544 Te
0.174 0.451 0.814 O
0.347 0.912 0.645 O
0.451 0.814 0.174 O
0.645 0.347 0.912 O
0.814 0.174 0.451 O
0.912 0.645 0.347 O
```